1.
Entry from Alexandria: a relaxed Al2WAu crystal (PBE).

Unit cell a=2.8346 b=2.8346 c=7.9539 alpha=90.00 beta=90.00 gamma=90.00
Closest atoms and distances in Å follow each position.
Space group P4/mmm (No. 123)
Asymmetric unit:
Al1 0.0000 0.0000 0.2434 [2 per cell]  4 W 2.79, 4 Al 2.83, 4 Au 2.86
W1 0.5000 0.5000 0.0000 [1 per cell]  8 Al 2.79, 4 W 2.83
Au1 0.5000 0.5000 0.5000 [1 per cell]  4 Au 2.83, 8 Al 2.86

Formation energy   -0.0611 eV/atom
Offset from the most stable computed form   66 meV per atom

---

2.
Entry from Alexandria: a relaxed Pr2Ga4Cu5 crystal (PBE).

Unit cell a=5.5846 b=9.6402 c=14.7401 alpha=90.00 beta=90.00 gamma=90.00
Closest atoms and distances in Å follow each position.
Space group Fmmm (No. 69)
Asymmetric unit:
Pr1 0.0000 0.0000 0.1395 [8 per cell]  6 Ga 3.17-3.33, 10 Cu 3.23-3.47
Ga1 0.0000 0.1545 0.3709 [16 per cell]  5 Cu 2.42-2.53
Cu1 0.0000 0.0000 0.5000 [4 per cell]  4 Ga 2.42
Cu2 0.2500 0.2500 0.0000 [8 per cell]  4 Ga 2.53, 4 Cu 2.79
Cu3 0.2500 0.2500 0.2500 [8 per cell]  4 Ga 2.44

Formation energy   -0.3095 eV/atom

---

3.
Entry from Alexandria: a relaxed Ba2SbPd crystal (PBE).

Unit cell a=8.9840 b=8.9840 c=7.0477 alpha=90.00 beta=90.00 gamma=90.00
Closest atoms and distances in Å follow each position.
Space group I-42d (No. 122)
Asymmetric unit:
Ba1 0.2095 0.7500 0.1250 [8 per cell]  2 Pd 3.06
Sb1 0.0000 0.0000 0.5000 [4 per cell]  2 Pd 3.52, 8 Ba 3.55-3.95
Pd1 0.0000 0.0000 0.0000 [4 per cell]  4 Ba 3.06

Raw formation energy   -185 kJ/mol of formula units

---

4.
Entry from Alexandria: a relaxed ScSb2Ir crystal (PBE).

Unit cell a=4.8710 b=4.8710 c=3.3734 alpha=90.00 beta=90.00 gamma=90.00
Closest atoms and distances in Å follow each position.
Space group P4/mmm (No. 123)
Asymmetric unit:
Sc1 0.0000 0.0000 0.0000 [1 per cell]  8 Sb 2.96
Sb1 0.0000 0.5000 0.5000 [2 per cell]  4 Sc 2.96, 4 Ir 2.96
Ir1 0.5000 0.5000 0.0000 [1 per cell]  8 Sb 2.96

Offset from the most stable computed form   102 meV per atom
Raw formation energy   -124 kJ/mol of formula units

---

5.
Entry from Alexandria: a relaxed ZnRePb crystal (PBE).

Unit cell a=3.0159 b=3.0159 c=13.6254 alpha=90.00 beta=90.00 gamma=90.00
Closest atoms and distances in Å follow each position.
Space group I4mm (No. 107)
Asymmetric unit:
Zn1 0.0000 0.0000 0.0000 [2 per cell]  4 Re 2.63
Re1 0.0000 0.0000 0.3866 [2 per cell]  4 Zn 2.63
Pb1 0.0000 0.0000 0.7253 [2 per cell]  4 Pb 3.02, 4 Re 3.06

Formation energy   0.7709 eV/atom
Offset from the most stable computed form   47 meV per atom

---

6.
Entry from Alexandria: a relaxed CaCrCl3 crystal (PBE).

Unit cell a=5.3089 b=5.3089 c=5.3089 alpha=90.00 beta=90.00 gamma=90.00
Closest atoms and distances in Å follow each position.
Space group Pm-3m (No. 221)
Asymmetric unit:
Ca1 0.0000 0.0000 0.0000 [1 per cell]  6 Cl 2.65
Cr1 0.5000 0.5000 0.5000 [1 per cell]  12 Cl 3.75
Cl1 0.0000 0.0000 0.5000 [3 per cell]  2 Ca 2.65

Raw formation energy   -526 kJ/mol of formula units